Material: Hf2NiN
Method: DFT, PBE
State: relaxed

Computed properties:
The value obtained for the energy relative to the elements, uncorrected is -3.7 eV/f.u. The uncorrected energy is -9.44 eV per atom. Its density of states at the Fermi level is 4.179 states/eV per cell. The crystal system is trigonal.

Unit cell a=3.206 b=3.206 c=6.771 alpha=76.31 beta=76.31 gamma=60.00
Fractional positions:
Ni 0.000 0.000 0.000
N 0.500 0.500 0.500
Hf 0.766 0.766 0.702
Hf 0.234 0.234 0.298